Entry one
Computed, not measured: BeReI2 after structural relaxation at the PBE-GGA level of DFT.

Lattice parameters (Å, degrees): 6.770 6.770 6.770 90.00 90.00 90.00
Space group Fm-3m (No. 225)
Inequivalent atoms, fractional coordinates:
Be1 0.000 0.000 0.000 x4
Re1 0.000 0.000 0.500 x4
I1 0.250 0.250 0.250 x8

Values from the calculation:
D(E_F), states/eV/cell: 12.0
Magnetic moment, μB per formula unit: 0.0

=====

Entry two
Computed, not measured: BeReI2 after structural relaxation at the PBE-GGA level of DFT.

Lattice parameters (Å, degrees): 5.856 5.856 11.413 90.00 90.00 90.00
Space group I-42d (No. 122)
Inequivalent atoms, fractional coordinates:
Be1 0.000 0.000 0.000 x4
Re1 0.000 0.000 0.500 x4
I1 0.226 0.250 0.125 x8

Values from the calculation:
D(E_F), states/eV/cell: 5.4
Magnetic moment, μB per formula unit: 0.0

=====

The data favor entry two; the next most stable structure lies 23.2 kJ/mol of atoms above it.